# 1
The following is a DFT calculation (PBE) of crystalline Pm4HoNi5 at its relaxed geometry.

Structure (extended XYZ):
```
10
Lattice="-2.432 -1.931 -1.450 1.943 -2.787 0.452 -7.289 -2.548 15.617" Properties=species:S:1:pos:R:3 pbc="T T T"
Pm -1.431 -0.500 3.065
Pm -2.907 -1.016 6.228
Pm -4.382 -1.532 9.389
Pm -5.859 -2.048 12.552
Ho 0.000 0.000 0.000
Ni -0.920 -2.595 0.949
Ni -2.414 -3.117 4.148
Ni -3.889 -3.633 7.309
Ni -5.365 -4.149 10.471
Ni -6.858 -4.671 13.670
```

Summary:
space-group type: P4/mmm (123)


# 2
The following is a DFT calculation (PBE) of crystalline PmHo3Ni8 at its relaxed geometry.

Structure (extended XYZ):
```
12
Lattice="-2.033 4.535 1.002 -3.364 2.033 -3.202 -7.977 -1.497 3.415" Properties=species:S:1:pos:R:3 pbc="T T T"
Pm -7.712 5.187 -0.646
Ho -9.005 1.152 2.164
Ho -7.969 -1.493 3.410
Ho -6.700 2.528 0.616
Ni -4.854 4.873 0.166
Ni -9.543 2.842 -0.211
Ni -3.836 2.603 -0.335
Ni -10.567 5.126 0.294
Ni -4.507 0.573 1.085
Ni -11.188 3.112 1.688
Ni -5.520 3.621 -1.938
Ni -8.873 4.102 1.906
```

Summary:
space-group type: R3m (160)


# 3
The following is a DFT calculation (PBE) of crystalline PmHoNi at its relaxed geometry.

Structure (extended XYZ):
```
6
Lattice="-0.902 -3.194 -0.885 2.321 -2.357 6.122 -5.781 3.101 1.385" Properties=species:S:1:pos:R:3 pbc="T T T"
Pm -1.383 -0.943 3.247
Pm -4.297 -0.466 4.519
Ho -5.484 0.714 1.467
Ho -0.197 -2.123 6.298
Ni -3.957 -1.643 1.746
Ni -2.626 -2.962 5.134
```

Summary:
distance to the lowest polymorph of the same formula: 0.0000 eV/atom
space-group type: P-1 (2)


# 4
The following is a DFT calculation (PBE) of crystalline PmHoNi at its relaxed geometry.

Structure (extended XYZ):
```
3
Lattice="4.794 0.000 0.000 2.397 4.151 0.000 2.397 1.384 3.914" Properties=species:S:1:pos:R:3 pbc="T T T"
Ni 2.397 1.384 0.979
Ho 4.794 2.768 1.957
Pm 0.000 0.000 0.000
```

Summary:
distance to the lowest polymorph of the same formula: 0.0856 eV/atom
space-group type: F-43m (216)


# 5
The following is a DFT calculation (PBE) of crystalline PmHoNi4 at its relaxed geometry.

Structure (extended XYZ):
```
6
Lattice="-0.009 2.098 -4.649 -4.383 1.574 -2.079 -0.918 4.987 -0.545" Properties=species:S:1:pos:R:3 pbc="T T T"
Ni -2.861 2.911 -4.276
Ni -1.119 4.627 -3.505
Ni -3.322 5.418 -4.550
Ni -3.318 4.363 -2.214
Ho 0.000 0.000 0.000
Pm -1.327 2.165 -1.818
```

Summary:
space-group type: F-43m (216)


# 6
The following is a DFT calculation (PBE) of crystalline PmHoNi at its relaxed geometry.

Structure (extended XYZ):
```
6
Lattice="7.878 1.395 0.799 3.906 6.224 -3.265 -5.364 -3.439 4.905" Properties=species:S:1:pos:R:3 pbc="T T T"
Pm 3.650 4.224 -0.096
Pm 2.771 -0.043 2.535
Ho 0.704 2.319 0.520
Ho 5.717 1.862 1.919
Ni 0.472 -0.384 1.072
Ni 2.042 -1.660 4.632
```

Summary:
distance to the lowest polymorph of the same formula: 0.1644 eV/atom
space-group type: Immm (71)


# 7
The following is a DFT calculation (PBE) of crystalline PmHo2Ni at its relaxed geometry.

Structure (extended XYZ):
```
8
Lattice="-1.753 3.896 2.204 -4.488 -3.089 -3.347 -1.599 -4.043 5.877" Properties=species:S:1:pos:R:3 pbc="T T T"
Pm -6.241 -0.120 0.493
Pm -1.600 -3.117 4.241
Ho -4.560 -2.931 1.559
Ho -3.280 -0.306 3.175
Ho -5.265 -4.714 4.150
Ho -2.575 1.477 0.584
Ni -5.352 -1.779 4.141
Ni -2.489 -1.458 0.593
```

Summary:
distance to the lowest polymorph of the same formula: 0.0343 eV/atom
space-group type: Cmcm (63)


# 8
The following is a DFT calculation (PBE) of crystalline PmHoNi at its relaxed geometry.

Structure (extended XYZ):
```
3
Lattice="-0.011 -1.845 3.463 0.973 -1.953 -3.260 5.990 1.562 0.852" Properties=species:S:1:pos:R:3 pbc="T T T"
Ni 2.269 -1.372 1.499
Ho 0.556 0.145 0.079
Pm 4.127 -1.009 -0.524
```

Summary:
distance to the lowest polymorph of the same formula: 0.0736 eV/atom
space-group type: P3m1 (156)


# 9
The following is a DFT calculation (PBE) of crystalline Pm3HoNi8 at its relaxed geometry.

Structure (extended XYZ):
```
12
Lattice="-2.379 1.247 -4.358 1.781 -1.735 -4.475 -5.053 -6.963 -2.240" Properties=species:S:1:pos:R:3 pbc="T T T"
Pm -4.643 -6.272 -5.273
Pm -0.605 -0.498 -8.833
Pm -2.821 -3.719 -5.538
Ho -2.419 -3.039 -8.570
Ni -2.413 -0.917 -6.462
Ni -2.839 -5.845 -7.649
Ni -1.224 -1.540 -4.284
Ni -4.021 -5.226 -9.814
Ni -2.318 -3.131 -2.637
Ni -5.148 -6.864 -8.174
Ni -0.334 -2.407 -6.520
Ni -4.905 -4.364 -7.591
```

Summary:
space-group type: R3m (160)


# 10
The following is a DFT calculation (PBE) of crystalline PmHoNi2 at its relaxed geometry.

Structure (extended XYZ):
```
4
Lattice="3.412 0.000 0.000 0.000 3.412 0.000 0.000 0.000 6.826" Properties=species:S:1:pos:R:3 pbc="T T T"
Ni 0.000 0.000 5.017
Ni 0.000 0.000 1.810
Ho 1.706 1.706 3.413
Pm 1.706 1.706 0.000
```

Summary:
distance to the lowest polymorph of the same formula: 0.0796 eV/atom
space-group type: P4/mmm (123)


Quick rundown of DOS at the Fermi energy, same order as above: 8.80, 6.37, 3.23, 2.60, 3.84, 4.42, 3.85, 2.69, 7.62, 4.24 states/eV/f.u.
Quick rundown of DFT formation energy, same order as above: -28, -42, -20, -12, -39, -4, -19, -13, -36, -31 kJ/mol of atoms